! PBE-GGA MgCo2Se, relaxed; values from VASP
! * formation energy without anion corrections: 0.132 eV per atom
! * size of the total moment: 2.28 μB/f.u.
! * calculated total energy: -18.76 eV/cell
&SYSTEM
  ibrav = 0, nat = 4, ntyp = 3
/
ATOMIC_SPECIES
Mg 24.30 Mg.upf
Co 58.93 Co.upf
Se 78.96 Se.upf
CELL_PARAMETERS angstrom
4.1148 -1.5204 0.0000
4.1148 1.5204 0.0000
-0.9913 0.0000 4.5355
ATOMIC_POSITIONS crystal
Mg 0.0000 0.0000 0.0000
Co 0.2380 0.2380 0.7163
Co 0.7620 0.7620 0.2837
Se 0.5000 0.5000 0.5000

***

! PBE-GGA Mg3CoSe, relaxed; values from VASP
! * formation energy without anion corrections: 0.236 eV per atom
! * size of the total moment: 0.00 μB/f.u.
! * calculated total energy: -14.19 eV/cell
&SYSTEM
  ibrav = 0, nat = 5, ntyp = 3
/
ATOMIC_SPECIES
Mg 24.30 Mg.upf
Co 58.93 Co.upf
Se 78.96 Se.upf
CELL_PARAMETERS angstrom
4.7815 0.0000 0.0000
0.0000 4.7815 0.0000
0.0000 0.0000 4.7815
ATOMIC_POSITIONS crystal
Mg 0.0000 0.0000 0.5000
Mg 0.0000 0.5000 0.0000
Mg 0.5000 0.0000 0.0000
Co 0.0000 0.0000 0.0000
Se 0.5000 0.5000 0.5000

***

! PBE-GGA MgCo2Se, relaxed; values from VASP
! * formation energy without anion corrections: 0.241 eV per atom
! * size of the total moment: 1.98 μB/f.u.
! * calculated total energy: -18.33 eV/cell
&SYSTEM
  ibrav = 0, nat = 4, ntyp = 3
/
ATOMIC_SPECIES
Mg 24.30 Mg.upf
Co 58.93 Co.upf
Se 78.96 Se.upf
CELL_PARAMETERS angstrom
1.4880 0.8591 7.6995
-1.4880 0.8591 7.6995
0.0000 -1.7182 7.6995
ATOMIC_POSITIONS crystal
Mg 0.0000 0.0000 0.0000
Co 0.2403 0.2403 0.2403
Co 0.7597 0.7597 0.7597
Se 0.5000 0.5000 0.5000